Model a:
! Tb3Er7Tm2 | Alexandria | GGA-PBE | optimized geometry; values from VASP
! **Space group**: Cmmm, No. 65
! **Total moment**: 0.0 μB per formula unit
&SYSTEM
  ibrav = 0, nat = 12, ntyp = 3
/
ATOMIC_SPECIES
Tb 158.93 Tb.upf
Er 167.26 Er.upf
Tm 168.93 Tm.upf
ATOMIC_POSITIONS angstrom
Tb 0.0000 0.0000 0.0000
Tb 2.8787 12.8694 0.0000
Tb 2.8787 -12.8694 0.0000
Er 2.8787 15.7336 1.7745
Er 2.8787 9.9430 1.7745
Er 2.8787 3.3332 0.0000
Er 2.8787 0.0000 1.7745
Er 2.8787 -3.3332 0.0000
Er 2.8787 -9.9430 1.7745
Er 2.8787 -15.7336 1.7745
Tm 2.8787 6.4760 1.7745
Tm 2.8787 -6.4760 1.7745
CELL_PARAMETERS angstrom
2.8787 -18.4250 0.0000
2.8787 18.4250 0.0000
0.0000 0.0000 3.5491

Model b:
! Tb3Er7Tm2 | Alexandria | GGA-PBE | optimized geometry; values from VASP
! **Space group**: P2/m, No. 10
! **Total moment**: 0.0 μB per formula unit
&SYSTEM
  ibrav = 0, nat = 12, ntyp = 3
/
ATOMIC_SPECIES
Tb 158.93 Tb.upf
Er 167.26 Er.upf
Tm 168.93 Tm.upf
ATOMIC_POSITIONS angstrom
Tb 0.0000 0.0000 0.0000
Tb 3.0899 1.7506 11.1600
Tb 3.1391 1.7506 5.7876
Er 1.0941 1.7506 2.8119
Er 1.5716 0.0000 8.5048
Er 2.0026 0.0000 14.1129
Er 3.1381 1.7506 0.0000
Er 4.2264 0.0000 2.8347
Er 4.6574 0.0000 8.4428
Er 5.1349 1.7506 14.1357
Tm 0.0324 0.0000 5.5185
Tm 6.1966 0.0000 11.4291
CELL_PARAMETERS angstrom
6.2761 0.0000 0.0000
0.0000 3.5012 0.0000
-0.0471 0.0000 16.9476

Which structure above is the least stable? It is model a.